# 1
# PBE-GGA KZrPb2, optimized geometry
data_KZrPb2
_chemical_formula_sum 'K1 Zr1 Pb2'
_space_group_name_H-M_alt 'P 4 m m'
_space_group_IT_number 99
_space_group_name_Hall 'P 4 -2'
_cell_length_a 4.116
_cell_length_b 4.116
_cell_length_c 8.934
_cell_angle_alpha 90.00
_cell_angle_beta 90.00
_cell_angle_gamma 90.00
loop_
_atom_site_label
_atom_site_fract_x
_atom_site_fract_y
_atom_site_fract_z
K1 0.000 0.000 0.000
Zr1 0.500 0.500 0.596
Pb1 0.000 0.000 0.604
Pb2 0.500 0.500 0.271
# * energy relative to the elements: 0.19 eV per atom
# * density of states at the Fermi level: 3.21 states/eV/f.u.
# * final energy: -4.08 eV/atom



# 2
# PBE-GGA Ca2ScZn2, optimized geometry
data_Ca2ScZn2
_chemical_formula_sum 'Ca4 Sc2 Zn4'
_space_group_name_H-M_alt 'P 4/m b m'
_space_group_IT_number 127
_space_group_name_Hall '-P 4 2ab'
_cell_length_a 8.565
_cell_length_b 8.565
_cell_length_c 3.338
_cell_angle_alpha 90.00
_cell_angle_beta 90.00
_cell_angle_gamma 90.00
loop_
_atom_site_label
_atom_site_fract_x
_atom_site_fract_y
_atom_site_fract_z
Ca1 0.139 0.361 0.000
Sc1 0.000 0.000 0.000
Zn1 0.159 0.659 0.500
# * energy relative to the elements: 0.03 eV per atom
# * density of states at the Fermi level: 2.72 states/eV/f.u.
# * final energy: -2.55 eV/atom



# 3
# PBE-GGA Pm2Dy6Tl, optimized geometry
data_Pm2Dy6Tl
_chemical_formula_sum 'Pm4 Dy12 Tl2'
_space_group_name_H-M_alt 'I m m m'
_space_group_IT_number 71
_space_group_name_Hall '-I 2 2'
_cell_length_a 3.511
_cell_length_b 10.198
_cell_length_c 15.954
_cell_angle_alpha 90.00
_cell_angle_beta 90.00
_cell_angle_gamma 90.00
loop_
_atom_site_label
_atom_site_fract_x
_atom_site_fract_y
_atom_site_fract_z
Pm1 0.000 0.000 0.153
Dy1 0.000 0.303 0.500
Dy2 0.000 0.338 0.177
Tl1 0.000 0.500 0.000
# * energy relative to the elements: 0.00 eV per atom
# * density of states at the Fermi level: 10.42 states/eV/f.u.
# * final energy: -4.39 eV/atom



# 4
# PBE-GGA AcCeNdAl, optimized geometry
data_AcCeNdAl
_chemical_formula_sum 'Ac4 Ce4 Nd4 Al4'
_space_group_name_H-M_alt 'F -4 3 m'
_space_group_IT_number 216
_space_group_name_Hall 'F -4 2 3'
_cell_length_a 7.891
_cell_length_b 7.891
_cell_length_c 7.891
_cell_angle_alpha 90.00
_cell_angle_beta 90.00
_cell_angle_gamma 90.00
loop_
_atom_site_label
_atom_site_fract_x
_atom_site_fract_y
_atom_site_fract_z
Ac1 0.000 0.000 0.000
Ce1 0.250 0.250 0.250
Nd1 0.250 0.250 0.750
Al1 0.000 0.000 0.500
# * energy relative to the elements: 0.09 eV per atom
# * density of states at the Fermi level: 10.03 states/eV/f.u.
# * final energy: -4.55 eV/atom



# 5
# PBE-GGA Ho2Zr2O7, optimized geometry
data_Ho2Zr2O7
_chemical_formula_sum 'Ho4 Zr4 O14'
_space_group_name_H-M_alt 'P m m a'
_space_group_IT_number 51
_space_group_name_Hall '-P 2a 2a'
_cell_length_a 7.520
_cell_length_b 3.604
_cell_length_c 10.607
_cell_angle_alpha 90.00
_cell_angle_beta 90.00
_cell_angle_gamma 90.00
loop_
_atom_site_label
_atom_site_fract_x
_atom_site_fract_y
_atom_site_fract_z
Ho1 0.000 0.000 0.000
Ho2 0.250 0.500 0.274
Zr1 0.000 0.000 0.500
Zr2 0.250 0.500 0.746
O1 0.019 0.500 0.619
O2 0.043 0.500 0.130
O3 0.250 0.000 0.388
O4 0.250 0.000 0.633
O5 0.250 0.000 0.881
# * density of states at the Fermi level: 0.00 states/eV/f.u.
# * final energy: -8.87 eV/atom
# * formation energy without anion corrections: -3.333 eV per atom



# 6
# PBE-GGA TlCrSi2, optimized geometry
data_TlCrSi2
_chemical_formula_sum 'Tl2 Cr2 Si4'
_space_group_name_H-M_alt 'I -4 m 2'
_space_group_IT_number 119
_space_group_name_Hall 'I -4 -2'
_cell_length_a 4.089
_cell_length_b 4.089
_cell_length_c 8.539
_cell_angle_alpha 90.00
_cell_angle_beta 90.00
_cell_angle_gamma 90.00
loop_
_atom_site_label
_atom_site_fract_x
_atom_site_fract_y
_atom_site_fract_z
Tl1 0.000 0.000 0.000
Cr1 0.000 0.500 0.750
Si1 0.000 0.000 0.500
Si2 0.000 0.500 0.250
# * density of states at the Fermi level: 2.45 states/eV/f.u.
# * final energy: -5.04 eV/atom
# * formation energy without anion corrections: 0.671 eV per atom



# 7
# PBE-GGA SrLaRe2, optimized geometry
data_SrLaRe2
_chemical_formula_sum 'Sr1 La1 Re2'
_space_group_name_H-M_alt 'P m m m'
_space_group_IT_number 47
_space_group_name_Hall '-P 2 2'
_cell_length_a 3.513
_cell_length_b 4.741
_cell_length_c 5.093
_cell_angle_alpha 90.00
_cell_angle_beta 90.00
_cell_angle_gamma 90.00
loop_
_atom_site_label
_atom_site_fract_x
_atom_site_fract_y
_atom_site_fract_z
Sr1 0.000 0.000 0.000
La1 0.500 0.500 0.000
Re1 0.000 0.500 0.500
Re2 0.500 0.000 0.500
# * energy relative to the elements: 1.12 eV per atom
# * density of states at the Fermi level: 5.20 states/eV/f.u.
# * final energy: -6.75 eV/atom



# 8
# PBE-GGA YMg2Ge2, optimized geometry
data_YMg2Ge2
_chemical_formula_sum 'Y2 Mg4 Ge4'
_space_group_name_H-M_alt 'I 4/m m m'
_space_group_IT_number 139
_space_group_name_Hall '-I 4 2'
_cell_length_a 4.813
_cell_length_b 4.813
_cell_length_c 9.781
_cell_angle_alpha 90.00
_cell_angle_beta 90.00
_cell_angle_gamma 90.00
loop_
_atom_site_label
_atom_site_fract_x
_atom_site_fract_y
_atom_site_fract_z
Y1 0.000 0.000 0.000
Mg1 0.000 0.000 0.362
Ge1 0.000 0.500 0.250
# * energy relative to the elements: -0.16 eV per atom
# * density of states at the Fermi level: 1.74 states/eV/f.u.
# * final energy: -3.94 eV/atom



# 9
# PBE-GGA IrRhS2N, optimized geometry
data_IrRhS2N
_chemical_formula_sum 'Ir1 Rh1 S2 N1'
_space_group_name_H-M_alt 'P 4/m m m'
_space_group_IT_number 123
_space_group_name_Hall '-P 4 2'
_cell_length_a 4.757
_cell_length_b 4.757
_cell_length_c 3.556
_cell_angle_alpha 90.00
_cell_angle_beta 90.00
_cell_angle_gamma 90.00
loop_
_atom_site_label
_atom_site_fract_x
_atom_site_fract_y
_atom_site_fract_z
Ir1 0.000 0.000 0.000
Rh1 0.500 0.500 0.500
S1 0.000 0.500 0.500
N1 0.500 0.500 0.000
# * density of states at the Fermi level: 3.43 states/eV/f.u.
# * final energy: -5.46 eV/atom
# * formation energy without anion corrections: 1.097 eV per atom



# 10
# PBE-GGA RbCu3Pt, optimized geometry
data_RbCu3Pt
_chemical_formula_sum 'Rb1 Cu3 Pt1'
_space_group_name_H-M_alt 'P m -3 m'
_space_group_IT_number 221
_space_group_name_Hall '-P 4 2 3'
_cell_length_a 4.894
_cell_length_b 4.894
_cell_length_c 4.894
_cell_angle_alpha 90.00
_cell_angle_beta 90.00
_cell_angle_gamma 90.00
loop_
_atom_site_label
_atom_site_fract_x
_atom_site_fract_y
_atom_site_fract_z
Rb1 0.000 0.000 0.000
Cu1 0.000 0.500 0.500
Pt1 0.500 0.500 0.500
# * energy relative to the elements: 0.42 eV per atom
# * density of states at the Fermi level: 2.18 states/eV/f.u.
# * final energy: -3.44 eV/atom



# 11
# PBE-GGA TeSO2F, optimized geometry
data_TeSO2F
_chemical_formula_sum 'Te1 S1 O2 F1'
_space_group_name_H-M_alt 'P 4/m m m'
_space_group_IT_number 123
_space_group_name_Hall '-P 4 2'
_cell_length_a 3.515
_cell_length_b 3.515
_cell_length_c 7.233
_cell_angle_alpha 90.00
_cell_angle_beta 90.00
_cell_angle_gamma 90.00
loop_
_atom_site_label
_atom_site_fract_x
_atom_site_fract_y
_atom_site_fract_z
Te1 0.000 0.000 0.000
S1 0.500 0.500 0.500
O1 0.000 0.500 0.500
F1 0.500 0.500 0.000
# * density of states at the Fermi level: 5.10 states/eV/f.u.
# * final energy: -3.88 eV/atom
# * formation energy without anion corrections: -0.065 eV per atom



# 12
# PBE-GGA FeHg, optimized geometry
data_FeHg
_chemical_formula_sum 'Fe4 Hg4'
_space_group_name_H-M_alt 'C m c m'
_space_group_IT_number 63
_space_group_name_Hall '-C 2c 2'
_cell_length_a 3.086
_cell_length_b 14.823
_cell_length_c 3.080
_cell_angle_alpha 90.00
_cell_angle_beta 90.00
_cell_angle_gamma 90.00
loop_
_atom_site_label
_atom_site_fract_x
_atom_site_fract_y
_atom_site_fract_z
Fe1 0.000 0.213 0.250
Hg1 0.000 0.413 0.250
# * energy relative to the elements: 0.31 eV per atom
# * density of states at the Fermi level: 1.37 states/eV/f.u.
# * final energy: -4.07 eV/atom



The highest final energy belongs to which entry? Ca2ScZn2



What is the formula in the twelfth record? FeHg